# K2SrMoPt (meta-GGA SCAN, single point on PBEsol structure)
data_K2SrMoPt
_space_group_name_H-M_alt 'P 4/m m m'
_space_group_IT_number 123
_space_group_name_Hall '-P 4 2'
_cell_length_a 6.753
_cell_length_b 6.753
_cell_length_c 5.195
_cell_angle_alpha 90.00
_cell_angle_beta 90.00
_cell_angle_gamma 90.00
loop_
_atom_site_label
_atom_site_type_symbol
_atom_site_fract_x
_atom_site_fract_y
_atom_site_fract_z
K1 K 0.000 0.500 0.000
Sr1 Sr 0.000 0.000 0.000
Mo1 Mo 0.500 0.500 0.500
Pt1 Pt 0.000 0.000 0.500
# magnetic moment	4.99	μB per formula unit
# ρ	3202	kg/m3
# calculated formation energy	1.299	eV per atom